1.
An optimized crystal structure of Ho2Er4MgSc, computed with PBE.

Values from the calculation:
The crystal system is tetragonal. The value obtained for the formation energy is 0.0327 eV per atom. As for the space group: P4/mmm (123).

a b c (Å): 4.8917 4.8947 10.8593
angles (deg): 63.17 90.00 90.00
Positions (direct):
Ho (0.0000, 0.0000, 0.0000)
Ho (0.5000, 0.0000, 0.5000)
Er (0.0000, 0.7539, 0.7464)
Er (0.0000, 0.2461, 0.2536)
Er (0.5000, 0.7456, 0.2537)
Er (0.5000, 0.2544, 0.7463)
Mg (0.5000, 0.5000, 0.0000)
Sc (0.0000, 0.5000, 0.5000)

=====

2.
An optimized crystal structure of HoErMgSc, computed with PBE.

Values from the calculation:
The crystal system is orthorhombic. The value obtained for the formation energy is 0.1153 eV per atom. As for the space group: Amm2 (38). For the relative energy among the computed polymorphs, the calculation gives 0.33 eV/f.u.

a b c (Å): 3.3390 3.3766 10.0074
angles (deg): 90.01 99.61 90.00
Each line ends with the local moment (μB).
Positions (direct):
Ho (0.2813, 0.4298, 0.5620)  0.08
Er (0.4339, 0.9298, 0.8688)  0.13
Mg (0.0532, 0.4291, 0.1058)  0.00
Sc (0.6620, 0.9298, 0.3242)  0.04

=====

3.
An optimized crystal structure of HoEr2Mg5Sc2, computed with PBE.

Values from the calculation:
The crystal system is tetragonal. The value obtained for the formation energy is 0.0422 eV per atom. As for the space group: P4/mbm (127).

a b c (Å): 4.9471 10.2832 10.2832
angles (deg): 90.00 90.00 90.00
Positions (direct):
Ho (0.0000, 0.0000, 0.0000)
Ho (0.0000, 0.5000, 0.5000)
Er (0.0000, 0.6786, 0.1786)
Er (0.0000, 0.3214, 0.8214)
Er (0.0000, 0.1786, 0.3214)
Er (0.0000, 0.8214, 0.6786)
Mg (0.5000, 0.2029, 0.0699)
Mg (0.5000, 0.7971, 0.9301)
Mg (0.5000, 0.0699, 0.7971)
Mg (0.5000, 0.7029, 0.4301)
Mg (0.5000, 0.9301, 0.2029)
Mg (0.5000, 0.2971, 0.5699)
Mg (0.5000, 0.5699, 0.7029)
Mg (0.5000, 0.4301, 0.2971)
Mg (0.5000, 0.5000, 0.0000)
Mg (0.5000, 0.0000, 0.5000)
Sc (0.0000, 0.1159, 0.6159)
Sc (0.0000, 0.8841, 0.3841)
Sc (0.0000, 0.6159, 0.8841)
Sc (0.0000, 0.3841, 0.1159)

=====

4.
An optimized crystal structure of Ho2Er6MgSc3, computed with PBE.

Values from the calculation:
The crystal system is monoclinic. The value obtained for the formation energy is 0.0456 eV per atom. As for the space group: C2/m (12).

a b c (Å): 5.9528 5.9528 11.3003
angles (deg): 95.06 95.06 120.01
Positions (direct):
Ho (0.3335, 0.6665, 0.0000)
Ho (0.6665, 0.3335, 0.0000)
Er (0.9144, 0.5807, 0.7425)
Er (0.7518, 0.7518, 0.2579)
Er (0.0856, 0.4193, 0.2575)
Er (0.5807, 0.9144, 0.7425)
Er (0.2482, 0.2482, 0.7421)
Er (0.4193, 0.0856, 0.2575)
Mg (0.0000, 0.0000, 0.0000)
Sc (0.1658, 0.8342, 0.5000)
Sc (0.8342, 0.1658, 0.5000)
Sc (0.5000, 0.5000, 0.5000)

=====

5.
An optimized crystal structure of HoErMgSc, computed with PBE.

Values from the calculation:
The crystal system is cubic. The value obtained for the formation energy is 0.0321 eV per atom. As for the space group: F-43m (216). For the relative energy among the computed polymorphs, the calculation gives 0.00 eV/f.u.

a b c (Å): 5.3486 5.3486 5.3486
angles (deg): 60.00 60.00 60.00
Positions (direct):
Sc (0.0000, 0.0000, 0.0000)
Mg (0.5000, 0.5000, 0.5000)
Ho (0.2500, 0.2500, 0.2500)
Er (0.7500, 0.7500, 0.7500)

=====

6.
An optimized crystal structure of Ho3Er3MgSe8, computed with PBE.

Values from the calculation:
The crystal system is trigonal. As for the space group: R-3m (166). The formation energy from raw total energies comes out at -167 kJ per mole of atoms.

a b c (Å): 8.0555 8.0557 8.0633
angles (deg): 119.97 90.00 120.00
Positions (direct):
Ho (0.0000, 0.0000, 0.0000)
Ho (0.0000, 0.5000, 0.0000)
Ho (0.5000, 0.5000, 0.0000)
Er (0.5000, 0.0000, 0.5000)
Er (0.5000, 0.5000, 0.5000)
Er (0.0000, 0.5000, 0.5000)
Mg (0.0000, 0.0000, 0.5000)
Se (0.2506, 0.5011, 0.2517)
Se (0.7494, 0.4989, 0.7483)
Se (0.7554, 0.5107, 0.2564)
Se (0.2446, 0.4893, 0.7436)
Se (0.7554, 0.0011, 0.2564)
Se (0.2446, 0.9989, 0.7436)
Se (0.2457, 0.0011, 0.2564)
Se (0.7543, 0.9989, 0.7436)

=====

7.
An optimized crystal structure of Ho4ErMgSe8, computed with PBE.

Values from the calculation:
The crystal system is trigonal. As for the space group: R3m (160). The formation energy from raw total energies comes out at -165 kJ per mole of atoms.

a b c (Å): 8.3040 8.3040 8.3033
angles (deg): 60.00 60.00 60.00
Positions (direct):
Ho (0.6249, 0.6249, 0.1253)
Ho (0.0032, 0.4903, 0.5033)
Ho (0.4903, 0.0032, 0.5033)
Ho (0.0032, 0.0032, 0.5033)
Er (0.0034, 0.0034, 0.9899)
Mg (0.3748, 0.3748, 0.8756)
Se (0.2455, 0.7620, 0.7469)
Se (0.7620, 0.2455, 0.7469)
Se (0.2455, 0.2455, 0.7469)
Se (0.2460, 0.2460, 0.2620)
Se (0.7591, 0.2245, 0.2572)
Se (0.2245, 0.7591, 0.2572)
Se (0.7591, 0.7591, 0.2572)
Se (0.7583, 0.7583, 0.7252)

=====

8.
An optimized crystal structure of Sm6Ho3Er2Mg, computed with PBE.

Values from the calculation:
The crystal system is monoclinic. The value obtained for the formation energy is 0.0245 eV per atom. As for the space group: C2/m (12).

a b c (Å): 6.1751 6.1751 11.6842
angles (deg): 95.07 95.07 120.02
Positions (direct):
Sm (0.9177, 0.5848, 0.7518)
Sm (0.7493, 0.7493, 0.2494)
Sm (0.0823, 0.4152, 0.2482)
Sm (0.5848, 0.9177, 0.7518)
Sm (0.2507, 0.2507, 0.7506)
Sm (0.4152, 0.0823, 0.2482)
Ho (0.1664, 0.8336, 0.5000)
Ho (0.8336, 0.1664, 0.5000)
Ho (0.5000, 0.5000, 0.5000)
Er (0.3335, 0.6665, 0.0000)
Er (0.6665, 0.3335, 0.0000)
Mg (0.0000, 0.0000, 0.0000)

=====

9.
An optimized crystal structure of Sm2Ho2ErMg, computed with PBE.

Values from the calculation:
The crystal system is orthorhombic. The value obtained for the formation energy is 0.4515 eV per atom. As for the space group: Pnnm (58).

a b c (Å): 3.6221 11.8761 10.1180
angles (deg): 90.00 90.00 90.00
Positions (direct):
Sm (0.5000, 0.7788, 0.3959)
Sm (0.5000, 0.2212, 0.6041)
Sm (0.0000, 0.7212, 0.8959)
Sm (0.0000, 0.2788, 0.1041)
Ho (0.5000, 0.0716, 0.2493)
Ho (0.0000, 0.5716, 0.2507)
Ho (0.5000, 0.9284, 0.7507)
Ho (0.0000, 0.4284, 0.7493)
Er (0.5000, 0.5000, 0.0000)
Er (0.0000, 0.0000, 0.5000)
Mg (0.0000, 0.0000, 0.0000)
Mg (0.5000, 0.5000, 0.5000)

=====

10.
An optimized crystal structure of Sm2Ho2Er2Mg, computed with PBE.

Values from the calculation:
The crystal system is monoclinic. The value obtained for the formation energy is 0.0910 eV per atom. As for the space group: C2/m (12).

a b c (Å): 3.6306 6.2915 11.4929
angles (deg): 117.22 90.00 106.77
Positions (direct):
Sm (0.5281, 0.0562, 0.7448)
Sm (0.4719, 0.9438, 0.2552)
Ho (0.7466, 0.4932, 0.6290)
Ho (0.2534, 0.5068, 0.3710)
Er (0.6805, 0.3609, 0.0860)
Er (0.3195, 0.6391, 0.9140)
Mg (0.0000, 0.0000, 0.5000)

=====

11.
An optimized crystal structure of Sm3Ho6Er2Mg, computed with PBE.

Values from the calculation:
The crystal system is monoclinic. The value obtained for the formation energy is 0.0333 eV per atom. As for the space group: C2/m (12).

a b c (Å): 6.1264 6.1264 11.6488
angles (deg): 95.07 95.07 120.04
Positions (direct):
Sm (0.1658, 0.8342, 0.5000)
Sm (0.8342, 0.1658, 0.5000)
Sm (0.5000, 0.5000, 0.5000)
Ho (0.9194, 0.5866, 0.7548)
Ho (0.7476, 0.7476, 0.2461)
Ho (0.0806, 0.4134, 0.2452)
Ho (0.5866, 0.9194, 0.7548)
Ho (0.2524, 0.2524, 0.7539)
Ho (0.4134, 0.0806, 0.2452)
Er (0.3338, 0.6662, 0.0000)
Er (0.6662, 0.3338, 0.0000)
Mg (0.0000, 0.0000, 0.0000)

=====

12.
An optimized crystal structure of SmHo4Er2Mg, computed with PBE.

Values from the calculation:
The crystal system is tetragonal. The value obtained for the formation energy is 0.1012 eV per atom. As for the space group: P4/mmm (123).

a b c (Å): 5.7235 9.3796 5.7205
angles (deg): 52.44 90.00 90.00
Positions (direct):
Sm (0.5000, 0.5000, 0.0000)
Ho (0.0000, 0.7467, 0.7533)
Ho (0.0000, 0.2533, 0.2467)
Ho (0.5000, 0.7464, 0.2539)
Ho (0.5000, 0.2536, 0.7461)
Er (0.0000, 0.0000, 0.0000)
Er (0.5000, 0.0000, 0.5000)
Mg (0.0000, 0.5000, 0.5000)